(1)
This record from the Alexandria database describes Li4Mg at its PBEsol-relaxed geometry. The functional is SCAN.

Lattice parameters (Å, degrees): 6.704 6.704 4.388 90.00 90.00 90.00
Positions (direct):
1 Li 0.097 0.701 0.000
2 Li 0.201 0.403 0.500
3 Li 0.299 0.097 0.000
4 Li 0.403 0.799 0.500
5 Li 0.597 0.201 0.500
6 Li 0.701 0.903 0.000
7 Li 0.799 0.597 0.500
8 Li 0.903 0.299 0.000
9 Mg 0.000 0.000 0.500
10 Mg 0.500 0.500 0.000

Calculated values
Distance to the lowest polymorph of the same formula   0.000 eV/atom
SG   I4/m
E   -2.92 eV per atom
ΔH_f (0 K)   -0.014 eV/atom
Total magnetization   0.009 μB/f.u.

---

(2)
This record from the Alexandria database describes LiMg2 at its PBEsol-relaxed geometry. The functional is SCAN.

Lattice parameters (Å, degrees): 5.921 4.787 8.636 90.00 90.00 90.00
Positions (direct):
1 Li 0.197 0.250 0.092
2 Li 0.303 0.750 0.592
3 Li 0.697 0.250 0.408
4 Li 0.803 0.750 0.908
5 Mg 0.026 0.250 0.764
6 Mg 0.191 0.250 0.425
7 Mg 0.309 0.750 0.925
8 Mg 0.474 0.750 0.264
9 Mg 0.526 0.250 0.736
10 Mg 0.691 0.250 0.075
11 Mg 0.809 0.750 0.575
12 Mg 0.974 0.750 0.236

Calculated values
SG   Pnma
E   -4.14 eV per atom
ΔH_f (0 K)   -0.025 eV/atom
Total magnetization   0.000 μB/f.u.

---

(3)
This record from the Alexandria database describes Li4Mg at its PBEsol-relaxed geometry. The functional is SCAN.

Lattice parameters (Å, degrees): 3.085 3.085 36.918 90.00 90.00 120.00
Positions (direct):
1 Li 0.000 0.000 0.100
2 Li 0.000 0.000 0.300
3 Li 0.000 0.000 0.700
4 Li 0.000 0.000 0.900
5 Li 0.333 0.667 0.367
6 Li 0.333 0.667 0.567
7 Li 0.333 0.667 0.766
8 Li 0.333 0.667 0.967
9 Li 0.667 0.333 0.033
10 Li 0.667 0.333 0.234
11 Li 0.667 0.333 0.433
12 Li 0.667 0.333 0.633
13 Mg 0.000 0.000 0.500
14 Mg 0.333 0.667 0.167
15 Mg 0.667 0.333 0.833

Calculated values
Distance to the lowest polymorph of the same formula   0.001 eV/atom
SG   R-3m
E   -2.92 eV per atom
ΔH_f (0 K)   -0.013 eV/atom
Total magnetization   0.034 μB/f.u.

---

(4)
This record from the Alexandria database describes Li4Mg at its PBEsol-relaxed geometry. The functional is SCAN.

Lattice parameters (Å, degrees): 6.490 6.490 6.490 90.00 90.00 90.00
Positions (direct):
1 Li 0.250 0.250 0.250
2 Li 0.250 0.250 0.750
3 Li 0.250 0.750 0.250
4 Li 0.250 0.750 0.750
5 Li 0.750 0.250 0.250
6 Li 0.750 0.250 0.750
7 Li 0.750 0.750 0.250
8 Li 0.750 0.750 0.750
9 Mg 0.000 0.000 0.000
10 Mg 0.500 0.500 0.500

Calculated values
Distance to the lowest polymorph of the same formula   0.321 eV/atom
SG   Im-3m
E   -2.60 eV per atom
ΔH_f (0 K)   0.308 eV/atom
Total magnetization   0.000 μB/f.u.

---

(5)
This record from the Alexandria database describes LiMg2 at its PBEsol-relaxed geometry. The functional is SCAN.

Lattice parameters (Å, degrees): 3.130 3.130 14.958 90.00 90.00 120.00
Positions (direct):
1 Li 0.000 0.000 0.164
2 Li 0.000 0.000 0.836
3 Mg 0.000 0.000 0.500
4 Mg 0.667 0.333 0.000
5 Mg 0.667 0.333 0.326
6 Mg 0.667 0.333 0.674

Calculated values
SG   P-6m2
E   -4.15 eV per atom
ΔH_f (0 K)   -0.034 eV/atom
Total magnetization   0.110 μB/f.u.

---

(6)
This record from the Alexandria database describes Li3Mg4 at its PBEsol-relaxed geometry. The functional is SCAN.

Lattice parameters (Å, degrees): 5.338 5.338 5.725 90.00 90.00 120.00
Positions (direct):
1 Li 0.000 0.500 0.000
2 Li 0.500 0.000 0.000
3 Li 0.500 0.500 0.000
4 Mg 0.000 0.000 0.255
5 Mg 0.000 0.000 0.745
6 Mg 0.333 0.667 0.500
7 Mg 0.667 0.333 0.500

Calculated values
Distance to the lowest polymorph of the same formula   0.041 eV/atom
SG   P6/mmm
E   -3.87 eV per atom
ΔH_f (0 K)   -0.008 eV/atom
Total magnetization   0.336 μB/f.u.